Material: Pu2CuB3Pt12
Method: DFT, PBE-GGA
State: relaxed

a b c (Å): 7.2633 7.2633 7.2633
angles (deg): 66.49 66.49 66.49
Site moments in Bohr magnetons follow the coordinates.
Sites, in units of the cell vectors:
Pu1 0.6072 0.6072 0.6072  4.91
Pu2 0.3928 0.3928 0.3928  4.91
Cu1 0.0000 0.0000 0.0000  -0.05
B1 0.5000 0.0000 0.0000  0.01
B2 0.0000 0.5000 0.0000  0.01
B3 0.0000 0.0000 0.5000  0.01
Pt1 0.3278 0.3278 0.9087  -0.05
Pt2 0.8718 0.8718 0.3816  -0.06
Pt3 0.3816 0.8718 0.8718  -0.06
Pt4 0.9087 0.3278 0.3278  -0.05
Pt5 0.8718 0.3816 0.8718  -0.06
Pt6 0.3278 0.9087 0.3278  -0.05
Pt7 0.6722 0.6722 0.0913  -0.05
Pt8 0.1282 0.1282 0.6184  -0.06
Pt9 0.6184 0.1282 0.1282  -0.06
Pt10 0.0913 0.6722 0.6722  -0.05
Pt11 0.1282 0.6184 0.1282  -0.06
Pt12 0.6722 0.0913 0.6722  -0.05

Calculated values
The calculation puts the volume at 309 Å³/cell. As for the energy relative to the elements: -289 meV/atom. The symmetry is R-3m. The density of states at the Fermi level comes out at 1.84 states/eV per atom.

Material: CuBRuPt2
Method: DFT, PBE-GGA
State: relaxed

a b c (Å): 4.8583 3.9055 4.8583
angles (deg): 90.00 90.00 90.00
Sites, in units of the cell vectors:
Ru1 0.0000 0.0000 0.0000
B1 0.0000 0.5000 0.0000
Cu1 0.5000 0.5000 0.5000
Pt1 0.0000 0.0000 0.5000
Pt2 0.5000 0.0000 0.0000

Calculated values
The calculation puts the volume at 92 Å³/cell. As for the energy relative to the elements: 1328 meV/atom. The symmetry is P4/mmm. The density of states at the Fermi level comes out at 1.34 states/eV per atom.

Material: Sm2CuBPt6
Method: DFT, PBE-GGA
State: relaxed

a b c (Å): 5.6076 7.4041 7.4041
angles (deg): 44.50 67.75 90.00
Sites, in units of the cell vectors:
Sm1 0.7082 0.2918 0.5835
Sm2 0.2918 0.7082 0.4165
Cu1 0.0000 0.0000 0.0000
B1 0.5000 0.5000 0.0000
Pt1 0.2634 0.2237 0.4732
Pt2 0.7763 0.7366 0.9603
Pt3 0.2634 0.7366 0.9603
Pt4 0.7366 0.2634 0.0397
Pt5 0.2237 0.2634 0.0397
Pt6 0.7366 0.7763 0.5268

Calculated values
The calculation puts the volume at 181 Å³/cell. As for the energy relative to the elements: -802 meV/atom. The symmetry is R-3m. The density of states at the Fermi level comes out at 0.36 states/eV per atom.

Material: Sm3CuB2Pt9
Method: DFT, PBE-GGA
State: relaxed

a b c (Å): 5.7597 5.7597 9.2619
angles (deg): 90.00 90.00 120.00
Sites, in units of the cell vectors:
Sm1 0.3333 0.6667 0.6006
Sm2 0.0000 0.0000 0.0000
Sm3 0.6667 0.3333 0.3994
Cu1 0.0000 0.0000 0.5000
B1 0.3333 0.6667 0.1514
B2 0.6667 0.3333 0.8486
Pt1 0.8356 0.1644 0.7118
Pt2 0.8356 0.6713 0.7118
Pt3 0.3287 0.1644 0.7118
Pt4 0.6713 0.8356 0.2882
Pt5 0.1644 0.3287 0.2882
Pt6 0.1644 0.8356 0.2882
Pt7 0.5000 0.0000 0.0000
Pt8 0.0000 0.5000 0.0000
Pt9 0.5000 0.5000 0.0000

Calculated values
The calculation puts the volume at 266 Å³/cell. As for the energy relative to the elements: -781 meV/atom. The symmetry is P-3m1. The density of states at the Fermi level comes out at 0.33 states/eV per atom.

Copy entry 3 word for word.
Material: Sm2CuBPt6
Method: DFT, PBE-GGA
State: relaxed

a b c (Å): 5.6076 7.4041 7.4041
angles (deg): 44.50 67.75 90.00
Sites, in units of the cell vectors:
Sm1 0.7082 0.2918 0.5835
Sm2 0.2918 0.7082 0.4165
Cu1 0.0000 0.0000 0.0000
B1 0.5000 0.5000 0.0000
Pt1 0.2634 0.2237 0.4732
Pt2 0.7763 0.7366 0.9603
Pt3 0.2634 0.7366 0.9603
Pt4 0.7366 0.2634 0.0397
Pt5 0.2237 0.2634 0.0397
Pt6 0.7366 0.7763 0.5268

Calculated values
The calculation puts the volume at 181 Å³/cell. As for the energy relative to the elements: -802 meV/atom. The symmetry is R-3m. The density of states at the Fermi level comes out at 0.36 states/eV per atom.

> energy relative to the elements of number 2 (CuBRuPt2)?

1328 meV/atom